No. 1
## La2InGe (PBE)

Data for an optimized crystal structure of La2InGe.

Cell lengths 4.005, 4.005, 7.052 Å; angles 90.00, 90.00, 90.00 degrees
Fractional coordinates of all 4 atoms:
1 La 0.000 0.000 0.219
2 La 0.000 0.000 0.781
3 In 0.500 0.500 0.500
4 Ge 0.500 0.500 0.000

Summary:
As for the density of states at the Fermi level: 0.63 states/eV/atom. The formation energy comes out at -60.2 kJ per mole of atoms. For the magnetic moment, the calculation gives 0.00 μB/cell. As for the density: 6.83 g/cm3. Its total energy is -19.706 eV per cell. As for the crystal system: tetragonal.


No. 2
## TbDyScCd (PBE)

Data for an optimized crystal structure of TbDyScCd.

Cell lengths 3.416, 9.751, 9.751 Å; angles 19.91, 90.00, 90.00 degrees
Fractional coordinates of all 4 atoms:
1 Tb 0.000 0.000 0.000
2 Dy 0.500 0.839 0.839
3 Sc 0.500 0.624 0.624
4 Cd 0.000 0.225 0.225

Summary:
As for the density of states at the Fermi level: 1.48 states/eV/atom. The calculation puts the energy above the most stable polymorph in this dataset at 35 meV per atom. The formation energy comes out at -1.3 kJ per mole of atoms. For the magnetic moment, the calculation gives 0.41 μB/cell. As for the density: 7.19 g/cm3. Its total energy is -16.532 eV per cell. As for the crystal system: orthorhombic.